Compound: RbNaGe3
Source: Alexandria via LeMat-Bulk
Functional: GGA-PBE
Structure: relaxed

- Crystal system: cubic
- Energy above the lowest structure with this stoichiometry: 0.00 eV/f.u.

Lattice parameters (Å, degrees): 5.3286 5.3286 5.3286 90.00 90.00 90.00
With the nearest neighbours (Å) after each atom.
Space group Pm-3m (No. 221)
Unique sites:
Rb 0.0000 0.0000 0.0000  12 Ge 3.77
Na 0.5000 0.5000 0.5000  6 Ge 2.66
Ge 0.0000 0.5000 0.5000  2 Na 2.66